Compound: Tb5HoEr6
Source: Alexandria
Functional: PBE
Structure: optimized geometry

Summary:
As for the formation energy: 0.018 eV per atom. The value obtained for the energy above the most stable polymorph in this dataset is 0 meV/atom.

abc: 6.0995 6.0995 11.6565
angles: 94.98 94.98 119.94
Last column: nearest neighbours and their distance in Å.
Atoms (fractional coordinates):
Tb  0.0000  0.0000  0.0000  6 Er 3.52, 6 Tb 3.52
Tb  0.1666  0.8334  0.5000  6 Er 3.52, 3 Tb 3.52, 3 Ho 3.52
Tb  0.3334  0.6666  0.0000  6 Er 3.52, 6 Tb 3.52
Tb  0.6666  0.3334  0.0000  6 Er 3.52, 6 Tb 3.52
Tb  0.8334  0.1666  0.5000  6 Er 3.52, 3 Tb 3.52, 3 Ho 3.52
Ho  0.5000  0.5000  0.5000  6 Er 3.51-3.52, 6 Tb 3.52
Er  0.0838  0.4170  0.2502  1 Ho 3.51, 5 Tb 3.52, 6 Er 3.52
Er  0.2498  0.2498  0.7498  1 Ho 3.52, 5 Tb 3.52, 6 Er 3.52
Er  0.4170  0.0838  0.2502  1 Ho 3.51, 5 Tb 3.52, 6 Er 3.52
Er  0.5830  0.9162  0.7498  1 Ho 3.51, 5 Tb 3.52, 6 Er 3.52
Er  0.7502  0.7502  0.2502  1 Ho 3.52, 5 Tb 3.52, 6 Er 3.52
Er  0.9162  0.5830  0.7498  1 Ho 3.51, 5 Tb 3.52, 6 Er 3.52

Compound: Tb7HoEr4
Source: Alexandria
Functional: PBE
Structure: optimized geometry

Summary:
As for the formation energy: 0.289 eV per atom. The value obtained for the energy above the most stable polymorph in this dataset is 291 meV/atom.

abc: 6.6450 6.6450 12.5826
angles: 115.13 115.13 52.27
Last column: nearest neighbours and their distance in Å.
Atoms (fractional coordinates):
Tb  0.0000  0.0000  0.0000  2 Ho 2.93, 2 Tb 3.10
Tb  0.2115  0.2115  0.9232  4 Tb 3.10-3.39, 1 Ho 3.10, 4 Er 3.25-3.35
Tb  0.2410  0.2410  0.6796  4 Tb 3.25-3.55, 2 Er 3.60
Tb  0.3684  0.3684  0.5009  2 Tb 3.15-3.26, 3 Er 3.26-3.45
Tb  0.6316  0.6316  0.4991  2 Tb 3.15-3.26, 3 Er 3.26-3.45
Tb  0.7590  0.7590  0.3204  4 Tb 3.25-3.55, 2 Er 3.60
Tb  0.7885  0.7885  0.0768  4 Tb 3.10-3.39, 1 Ho 3.10, 4 Er 3.25-3.35
Ho  0.5000  0.5000  0.0000  4 Tb 2.93-3.10
Er  0.0631  0.0631  0.3188  5 Tb 3.25-3.64, 2 Er 3.61
Er  0.3629  0.3629  0.2246  7 Tb 3.34-3.60, 2 Er 3.61
Er  0.6371  0.6371  0.7754  7 Tb 3.34-3.60, 2 Er 3.61
Er  0.9369  0.9369  0.6812  5 Tb 3.25-3.64, 2 Er 3.61

Compound: Tb6HoEr2
Source: Alexandria
Functional: PBE
Structure: optimized geometry

Summary:
As for the formation energy: 0.111 eV per atom. The value obtained for the energy above the most stable polymorph in this dataset is 95 meV/atom.

abc: 9.5117 9.5117 6.5400
angles: 99.43 99.43 96.20
Last column: nearest neighbours and their distance in Å.
Atoms (fractional coordinates):
Tb  0.0386  0.4394  0.7253  6 Tb 3.34-3.51, 2 Er 3.45-3.60, 1 Ho 3.47
Tb  0.1480  0.7797  0.9966  5 Tb 3.21-3.56, 1 Ho 3.30, 3 Er 3.33-3.46
Tb  0.2203  0.8520  0.5034  5 Tb 3.21-3.56, 1 Ho 3.30, 3 Er 3.33-3.46
Tb  0.2778  0.4542  0.1829  3 Tb 3.30-3.42, 2 Ho 3.38-3.67, 2 Er 3.46-3.48
Tb  0.4394  0.0386  0.2253  6 Tb 3.34-3.51, 2 Er 3.45-3.60, 1 Ho 3.47
Tb  0.4542  0.2778  0.6829  3 Tb 3.30-3.42, 2 Ho 3.38-3.67, 2 Er 3.46-3.48
Tb  0.5458  0.7222  0.3171  3 Tb 3.30-3.42, 2 Ho 3.38-3.67, 2 Er 3.46-3.48
Tb  0.5606  0.9614  0.7747  6 Tb 3.34-3.51, 2 Er 3.45-3.60, 1 Ho 3.47
Tb  0.7222  0.5458  0.8171  3 Tb 3.30-3.42, 2 Ho 3.38-3.67, 2 Er 3.46-3.48
Tb  0.7797  0.1480  0.4966  5 Tb 3.21-3.56, 1 Ho 3.30, 3 Er 3.33-3.46
Tb  0.8520  0.2203  0.0034  5 Tb 3.21-3.56, 1 Ho 3.30, 3 Er 3.33-3.46
Tb  0.9614  0.5606  0.2747  6 Tb 3.34-3.51, 2 Er 3.45-3.60, 1 Ho 3.47
Ho  0.3800  0.6200  0.7500  8 Tb 3.30-3.67
Ho  0.6200  0.3800  0.2500  8 Tb 3.30-3.67
Er  0.1186  0.1647  0.3666  7 Tb 3.33-3.60, 3 Er 3.33-3.55
Er  0.1647  0.1186  0.8666  7 Tb 3.33-3.60, 3 Er 3.33-3.55
Er  0.8353  0.8814  0.1334  7 Tb 3.33-3.60, 3 Er 3.33-3.55
Er  0.8814  0.8353  0.6334  7 Tb 3.33-3.60, 3 Er 3.33-3.55

Compound: TbHo5Er8
Source: Alexandria
Functional: PBE
Structure: optimized geometry

Summary:
As for the formation energy: 0.256 eV per atom.

abc: 8.3340 8.3340 8.3340
angles: 111.04 111.04 106.38
Last column: nearest neighbours and their distance in Å.
Atoms (fractional coordinates):
Tb  0.0000  0.0000  0.0000  4 Er 3.20
Ho  0.2139  0.6151  0.1772  8 Er 3.30-3.48, 2 Ho 3.53
Ho  0.3849  0.5622  0.5989  8 Er 3.30-3.48, 2 Ho 3.53
Ho  0.4378  0.0367  0.8228  8 Er 3.30-3.48, 2 Ho 3.53
Ho  0.7500  0.2500  0.5000  8 Er 3.08-3.27
Ho  0.9633  0.7861  0.4011  8 Er 3.30-3.48, 2 Ho 3.53
Er  0.0870  0.6704  0.7616  4 Ho 3.08-3.41, 1 Tb 3.20
Er  0.1697  0.2752  0.7533  5 Ho 3.27-3.47, 3 Er 3.53-3.58
Er  0.3296  0.0912  0.4166  4 Ho 3.08-3.41, 1 Tb 3.20
Er  0.5219  0.4164  0.2467  5 Ho 3.27-3.47, 3 Er 3.53-3.58
Er  0.5836  0.8303  0.1055  5 Ho 3.27-3.47, 3 Er 3.53-3.58
Er  0.6746  0.9130  0.5834  4 Ho 3.08-3.41, 1 Tb 3.20
Er  0.7248  0.4781  0.8945  5 Ho 3.27-3.47, 3 Er 3.53-3.58
Er  0.9088  0.3254  0.2384  4 Ho 3.08-3.41, 1 Tb 3.20

Compound: TbHo5Er7
Source: Alexandria
Functional: PBE
Structure: optimized geometry

Summary:
As for the formation energy: 0.262 eV per atom.

abc: 8.5868 8.5868 8.5868
angles: 134.68 100.31 96.77
Last column: nearest neighbours and their distance in Å.
Atoms (fractional coordinates):
Tb  0.0000  0.0000  0.0000  7 Er 3.49-3.85, 4 Ho 3.69
Ho  0.0317  0.0367  0.4597  2 Ho 3.06-3.07, 4 Er 3.37-3.42
Ho  0.0317  0.5720  0.9950  2 Ho 3.06-3.07, 4 Er 3.37-3.42
Ho  0.5770  0.0367  0.0050  2 Ho 3.06-3.07, 4 Er 3.37-3.42
Ho  0.5770  0.5720  0.5403  2 Ho 3.06-3.07, 4 Er 3.37-3.42
Ho  0.8051  0.3051  0.5000  4 Ho 3.06, 4 Er 3.41
Er  0.2252  0.5552  0.6701  5 Ho 3.41-3.42, 5 Er 3.42-3.75
Er  0.3057  0.3057  0.0000  3 Er 3.31-3.50, 4 Ho 3.48, 1 Tb 3.49
Er  0.3060  0.8060  0.5000  6 Er 3.31-3.42, 4 Ho 3.37
Er  0.3848  0.0550  0.3298  4 Er 3.40-3.75, 5 Ho 3.41-3.44, 1 Tb 3.68
Er  0.6124  0.6124  0.0000  7 Er 3.50-3.86, 4 Ho 3.66
Er  0.7252  0.0550  0.6702  4 Er 3.40-3.75, 5 Ho 3.41-3.44, 1 Tb 3.68
Er  0.8851  0.5552  0.3299  5 Ho 3.41-3.42, 5 Er 3.42-3.75

Compound: Tb2HoEr
Source: Alexandria
Functional: PBE
Structure: optimized geometry

Summary:
As for the formation energy: 0.019 eV per atom. The value obtained for the energy above the most stable polymorph in this dataset is 13 meV/atom.

abc: 3.5301 3.5301 9.9808
angles: 90.00 90.00 90.00
Last column: nearest neighbours and their distance in Å.
Atoms (fractional coordinates):
Tb  0.0000  0.0000  0.2495  4 Er 3.53, 4 Tb 3.53, 4 Ho 3.53
Tb  0.0000  0.0000  0.7505  4 Er 3.53, 4 Tb 3.53, 4 Ho 3.53
Ho  0.5000  0.5000  0.5000  4 Ho 3.53, 8 Tb 3.53
Er  0.5000  0.5000  0.0000  8 Tb 3.53, 4 Er 3.53

Compound: Tb7HoEr4
Source: Alexandria
Functional: PBE
Structure: optimized geometry

Summary:
As for the formation energy: -0.002 eV per atom. The value obtained for the energy above the most stable polymorph in this dataset is 0 meV/atom.

abc: 6.1724 7.1229 8.7687
angles: 89.99 76.46 89.96
Last column: nearest neighbours and their distance in Å.
Atoms (fractional coordinates):
Tb  0.0000  0.0000  0.0000  4 Er 3.51, 6 Tb 3.52-3.56, 2 Ho 3.56
Tb  0.2218  0.4998  0.3345  6 Tb 3.49-3.57, 5 Er 3.50-3.57, 1 Ho 3.52
Tb  0.2787  0.7508  0.6652  6 Er 3.49-3.57, 5 Tb 3.49-3.57, 1 Ho 3.52
Tb  0.4994  0.2488  0.9999  3 Er 3.51, 7 Tb 3.52-3.58, 2 Ho 3.56-3.57
Tb  0.5006  0.7512  0.0001  3 Er 3.51, 7 Tb 3.52-3.58, 2 Ho 3.56-3.57
Tb  0.7213  0.2492  0.3348  6 Er 3.49-3.57, 5 Tb 3.49-3.57, 1 Ho 3.52
Tb  0.7782  0.5002  0.6655  6 Tb 3.49-3.57, 5 Er 3.50-3.57, 1 Ho 3.52
Ho  0.0000  0.5000  0.0000  2 Er 3.51, 10 Tb 3.52-3.57
Er  0.2210  0.9999  0.3346  4 Er 3.49-3.56, 8 Tb 3.49-3.56
Er  0.2783  0.2494  0.6661  8 Tb 3.49-3.57, 3 Er 3.50-3.56, 1 Ho 3.51
Er  0.7217  0.7506  0.3339  8 Tb 3.49-3.57, 3 Er 3.50-3.56, 1 Ho 3.51
Er  0.7790  0.0001  0.6654  4 Er 3.49-3.56, 8 Tb 3.49-3.56

Compound: Tb5HoEr7
Source: Alexandria
Functional: PBE
Structure: optimized geometry

Summary:
As for the formation energy: 0.260 eV per atom. The value obtained for the energy above the most stable polymorph in this dataset is 0 meV/atom.

abc: 8.6233 8.6233 8.6233
angles: 134.56 100.68 96.49
Last column: nearest neighbours and their distance in Å.
Atoms (fractional coordinates):
Tb  0.0000  0.0000  0.0000  6 Er 3.33-3.44, 4 Tb 3.38
Tb  0.2735  0.2302  0.5037  2 Tb 3.07-3.38, 3 Er 3.07-3.43
Tb  0.2735  0.7698  0.0432  2 Tb 3.07-3.38, 3 Er 3.07-3.43
Tb  0.7266  0.2302  0.9568  2 Tb 3.07-3.38, 3 Er 3.07-3.43
Tb  0.7266  0.7698  0.4963  2 Tb 3.07-3.38, 3 Er 3.07-3.43
Ho  0.6945  0.1945  0.5000  7 Er 3.52-3.87, 4 Tb 3.68
Er  0.0010  0.5010  0.5000  6 Tb 3.33-3.51, 1 Er 3.52, 1 Ho 3.52
Er  0.0820  0.2513  0.8307  4 Er 3.41-3.77, 5 Tb 3.43-3.46, 1 Ho 3.70
Er  0.3073  0.8073  0.5000  7 Er 3.52-3.87, 4 Tb 3.67
Er  0.4206  0.2513  0.1693  4 Er 3.41-3.77, 5 Tb 3.43-3.46, 1 Ho 3.70
Er  0.5004  0.5004  0.0000  4 Tb 3.07, 4 Er 3.41
Er  0.5793  0.7490  0.8303  5 Er 3.41-3.77, 5 Tb 3.43-3.46
Er  0.9187  0.7490  0.1697  5 Er 3.41-3.77, 5 Tb 3.43-3.46

Compound: Tb12Ho2Er5
Source: Alexandria
Functional: PBE
Structure: optimized geometry

Summary:
As for the formation energy: 0.064 eV per atom. The value obtained for the energy above the most stable polymorph in this dataset is 0 meV/atom.

abc: 6.7369 8.5668 11.7058
angles: 105.27 103.38 103.83
Last column: nearest neighbours and their distance in Å.
Atoms (fractional coordinates):
Tb  0.0242  0.1398  0.2041  4 Er 3.22-3.60, 3 Tb 3.34-3.44, 1 Ho 3.59
Tb  0.0905  0.3562  0.5336  5 Tb 3.19-3.54, 2 Ho 3.36-3.41, 3 Er 3.48-3.57
Tb  0.1902  0.7979  0.1504  4 Er 3.32-3.59, 4 Tb 3.34-3.65, 1 Ho 3.42
Tb  0.2959  0.2005  0.7624  7 Tb 3.36-3.65, 2 Er 3.44-3.74, 2 Ho 3.45-3.58
Tb  0.3234  0.3797  0.0714  5 Er 3.36-3.75, 6 Tb 3.44-3.74
Tb  0.3588  0.5828  0.3761  8 Tb 3.46-3.87, 3 Er 3.50-3.81, 2 Ho 3.65-3.76
Tb  0.6412  0.4172  0.6239  8 Tb 3.46-3.87, 3 Er 3.50-3.81, 2 Ho 3.65-3.76
Tb  0.6766  0.6203  0.9286  5 Er 3.36-3.75, 6 Tb 3.44-3.74
Tb  0.7041  0.7995  0.2376  7 Tb 3.36-3.65, 2 Er 3.44-3.74, 2 Ho 3.45-3.58
Tb  0.8098  0.2021  0.8496  4 Er 3.32-3.59, 4 Tb 3.34-3.65, 1 Ho 3.42
Tb  0.9095  0.6438  0.4664  5 Tb 3.19-3.54, 2 Ho 3.36-3.41, 3 Er 3.48-3.57
Tb  0.9758  0.8602  0.7959  4 Er 3.22-3.60, 3 Tb 3.34-3.44, 1 Ho 3.59
Ho  0.2382  0.9980  0.4540  8 Tb 3.36-3.76, 2 Ho 3.43-3.62, 1 Er 3.60
Ho  0.7618  0.0020  0.5460  8 Tb 3.36-3.76, 2 Ho 3.43-3.62, 1 Er 3.60
Er  0.1442  0.5586  0.8525  9 Tb 3.22-3.58, 1 Er 3.57
Er  0.4161  0.7874  0.6885  2 Er 3.46-3.57, 9 Tb 3.48-3.81, 2 Ho 3.60-3.79
Er  0.5000  0.0000  0.0000  4 Er 3.46-3.65, 8 Tb 3.47-3.80
Er  0.5839  0.2126  0.3115  2 Er 3.46-3.57, 9 Tb 3.48-3.81, 2 Ho 3.60-3.79
Er  0.8558  0.4414  0.1475  9 Tb 3.22-3.58, 1 Er 3.57

Compound: Tb12HoEr6
Source: Alexandria
Functional: PBE
Structure: optimized geometry

Summary:
As for the formation energy: 0.153 eV per atom. The value obtained for the energy above the most stable polymorph in this dataset is 0 meV/atom.

abc: 8.4811 8.4811 8.4811
angles: 88.50 88.50 88.50
Last column: nearest neighbours and their distance in Å.
Atoms (fractional coordinates):
Tb  0.0127  0.2015  0.3587  4 Tb 3.41-3.55, 4 Er 3.48-3.65, 1 Ho 3.53
Tb  0.2015  0.3587  0.0127  4 Tb 3.41-3.55, 4 Er 3.48-3.65, 1 Ho 3.53
Tb  0.2234  0.4589  0.5657  3 Er 3.25-3.43, 6 Tb 3.27-3.59
Tb  0.3587  0.0127  0.2015  4 Tb 3.41-3.55, 4 Er 3.48-3.65, 1 Ho 3.53
Tb  0.4343  0.7766  0.5411  3 Er 3.25-3.43, 6 Tb 3.27-3.59
Tb  0.4589  0.5657  0.2234  3 Er 3.25-3.43, 6 Tb 3.27-3.59
Tb  0.5411  0.4343  0.7766  3 Er 3.25-3.43, 6 Tb 3.27-3.59
Tb  0.5657  0.2234  0.4589  3 Er 3.25-3.43, 6 Tb 3.27-3.59
Tb  0.6413  0.9873  0.7985  4 Tb 3.41-3.55, 4 Er 3.48-3.65, 1 Ho 3.53
Tb  0.7766  0.5411  0.4343  3 Er 3.25-3.43, 6 Tb 3.27-3.59
Tb  0.7985  0.6413  0.9873  4 Tb 3.41-3.55, 4 Er 3.48-3.65, 1 Ho 3.53
Tb  0.9873  0.7985  0.6413  4 Tb 3.41-3.55, 4 Er 3.48-3.65, 1 Ho 3.53
Ho  0.0000  0.0000  0.0000  6 Er 3.44, 6 Tb 3.53
Er  0.0952  0.6948  0.2582  6 Tb 3.25-3.56, 1 Ho 3.44, 2 Er 3.47
Er  0.2582  0.0952  0.6948  6 Tb 3.25-3.56, 1 Ho 3.44, 2 Er 3.47
Er  0.3052  0.7418  0.9048  6 Tb 3.25-3.56, 1 Ho 3.44, 2 Er 3.47
Er  0.6948  0.2582  0.0952  6 Tb 3.25-3.56, 1 Ho 3.44, 2 Er 3.47
Er  0.7418  0.9048  0.3052  6 Tb 3.25-3.56, 1 Ho 3.44, 2 Er 3.47
Er  0.9048  0.3052  0.7418  6 Tb 3.25-3.56, 1 Ho 3.44, 2 Er 3.47

Compound: Tb3HoEr6
Source: Alexandria
Functional: PBE
Structure: optimized geometry

Summary:
As for the formation energy: 0.122 eV per atom. The value obtained for the energy above the most stable polymorph in this dataset is 0 meV/atom.

abc: 11.4326 11.4326 6.3080
angles: 90.00 90.00 130.95
Last column: nearest neighbours and their distance in Å.
Atoms (fractional coordinates):
Tb  0.0792  0.9208  0.5000  5 Er 3.13-3.48, 2 Tb 3.37
Tb  0.2032  0.4592  0.8952  2 Tb 3.20-3.37, 5 Er 3.22-3.54, 1 Ho 3.46
Tb  0.4592  0.2032  0.3952  2 Tb 3.20-3.37, 5 Er 3.22-3.54, 1 Ho 3.46
Tb  0.5408  0.7968  0.8952  2 Tb 3.20-3.37, 5 Er 3.22-3.54, 1 Ho 3.46
Tb  0.7968  0.5408  0.3952  2 Tb 3.20-3.37, 5 Er 3.22-3.54, 1 Ho 3.46
Tb  0.9208  0.0792  0.0000  5 Er 3.13-3.48, 2 Tb 3.37
Ho  0.3387  0.6613  0.4219  6 Er 3.25-3.60, 2 Tb 3.46
Ho  0.6613  0.3387  0.9219  6 Er 3.25-3.60, 2 Tb 3.46
Er  0.0427  0.6050  0.7358  2 Tb 3.22-3.34, 3 Er 3.34-3.53, 2 Ho 3.50-3.60
Er  0.1213  0.2437  0.4741  3 Tb 3.31-3.48, 4 Er 3.46-3.62, 1 Ho 3.68
Er  0.1983  0.8017  0.1961  1 Tb 3.13, 1 Ho 3.25, 2 Er 3.38
Er  0.2437  0.1213  0.9741  3 Tb 3.31-3.48, 4 Er 3.46-3.62, 1 Ho 3.68
Er  0.3950  0.9573  0.7358  2 Tb 3.22-3.34, 3 Er 3.34-3.53, 2 Ho 3.50-3.60
Er  0.4857  0.5143  0.2254  4 Er 3.21-3.54, 1 Ho 3.30, 4 Tb 3.53-3.54
Er  0.5143  0.4857  0.7254  4 Er 3.21-3.54, 1 Ho 3.30, 4 Tb 3.53-3.54
Er  0.6050  0.0427  0.2358  2 Tb 3.22-3.34, 3 Er 3.34-3.53, 2 Ho 3.50-3.60
Er  0.7563  0.8787  0.4741  3 Tb 3.31-3.48, 4 Er 3.46-3.62, 1 Ho 3.68
Er  0.8017  0.1983  0.6961  1 Tb 3.13, 1 Ho 3.25, 2 Er 3.38
Er  0.8787  0.7563  0.9741  3 Tb 3.31-3.48, 4 Er 3.46-3.62, 1 Ho 3.68
Er  0.9573  0.3950  0.2358  2 Tb 3.22-3.34, 3 Er 3.34-3.53, 2 Ho 3.50-3.60

Compound: Tb3Ho8Er2
Source: Alexandria
Functional: PBE
Structure: optimized geometry

Summary:
As for the formation energy: 0.242 eV per atom.

abc: 10.6777 10.6777 5.5704
angles: 90.02 90.02 41.60
Last column: nearest neighbours and their distance in Å.
Atoms (fractional coordinates):
Tb  0.0000  0.0000  0.0000  4 Ho 3.09
Tb  0.2868  0.7132  0.5000  3 Tb 3.23-3.53, 6 Ho 3.44-3.53
Tb  0.7132  0.2868  0.5000  3 Tb 3.23-3.53, 6 Ho 3.44-3.53
Ho  0.1336  0.1336  0.4998  2 Tb 3.44, 2 Er 3.52, 4 Ho 3.58
Ho  0.1805  0.6019  0.9997  1 Tb 3.09, 3 Ho 3.20-3.43, 2 Er 3.39-3.44
Ho  0.3307  0.3307  0.4993  2 Er 3.31, 4 Ho 3.43
Ho  0.3981  0.8195  0.0003  1 Tb 3.09, 3 Ho 3.20-3.43, 2 Er 3.39-3.44
Ho  0.6019  0.1805  0.9997  1 Tb 3.09, 3 Ho 3.20-3.43, 2 Er 3.39-3.44
Ho  0.6693  0.6693  0.5007  2 Er 3.31, 4 Ho 3.43
Ho  0.8195  0.3981  0.0003  1 Tb 3.09, 3 Ho 3.20-3.43, 2 Er 3.39-3.44
Ho  0.8664  0.8664  0.5002  2 Tb 3.44, 2 Er 3.52, 4 Ho 3.58
Er  0.2413  0.2413  0.9992  8 Ho 3.31-3.52
Er  0.7587  0.7587  0.0008  8 Ho 3.31-3.52